[1]
The following is a DFT calculation (GGA-PBE) of a geometry-optimized ZrTeAu structure.

Properties
offset from the most stable computed form = 46 meV per atom
E_form (uncorrected) = -0.50 eV/atom

a b c (Å): 6.3697 3.5225 6.5806
angles (deg): 90.00 90.00 90.00
Closest atoms and distances in Å follow each position.
Positions (direct):
Zr1 0.0000 0.0000 0.0000  4 Au 2.98, 4 Te 3.02, 2 Zr 3.18
Zr2 0.5000 0.0000 0.0000  4 Au 2.98, 4 Te 3.02, 2 Zr 3.18
Te1 0.2500 0.5000 0.2842  3 Au 2.91-3.19, 4 Zr 3.02
Te2 0.7500 0.5000 0.7158  3 Au 2.91-3.19, 4 Zr 3.02
Au1 0.2500 0.5000 0.7272  3 Te 2.91-3.19, 4 Zr 2.98
Au2 0.7500 0.5000 0.2728  3 Te 2.91-3.19, 4 Zr 2.98

=====

[2]
The following is a DFT calculation (GGA-PBE) of a geometry-optimized BaAc2Ho structure.

Properties
offset from the most stable computed form = 0 meV per atom
formation energy = 0.081 eV per atom

a b c (Å): 3.9917 3.9917 11.0967
angles (deg): 90.00 90.00 90.00
Closest atoms and distances in Å follow each position.
Positions (direct):
Ba1 0.0000 0.0000 0.0000  4 Ba 3.99, 8 Ac 4.23
Ac1 0.5000 0.5000 0.2841  4 Ho 3.70, 4 Ac 3.99
Ac2 0.5000 0.5000 0.7159  4 Ho 3.70, 4 Ac 3.99
Ho1 0.0000 0.0000 0.5000  8 Ac 3.70, 4 Ho 3.99

=====

[3]
The following is a DFT calculation (GGA-PBE) of a geometry-optimized TiReNi structure.

Properties
offset from the most stable computed form = 85 meV per atom
formation energy = -0.153 eV per atom

a b c (Å): 6.2956 6.2896 2.6374
angles (deg): 78.03 77.78 24.19
Closest atoms and distances in Å follow each position.
Positions (direct):
Ti1 0.0000 0.0000 0.0000  4 Ti 2.64, 4 Ni 2.69-2.70, 4 Re 2.89-2.90
Re1 0.6846 0.6846 0.3154  4 Ni 2.61-2.63, 4 Re 2.64, 4 Ti 2.89-2.90
Ni1 0.3379 0.3379 0.6621  4 Re 2.61-2.63, 4 Ni 2.64, 4 Ti 2.69-2.70

=====

[4]
The following is a DFT calculation (GGA-PBE) of a geometry-optimized Pm4Pr6Ho structure.

Properties
formation energy = 0.275 eV per atom

a b c (Å): 9.7111 9.7111 9.7111
angles (deg): 138.57 138.57 60.03
Closest atoms and distances in Å follow each position.
Positions (direct):
Pm1 0.2094 0.2094 0.6534  5 Pr 3.22-3.60, 1 Pm 3.37
Pm2 0.4440 0.7906 0.0000  5 Pr 3.22-3.60, 1 Pm 3.37
Pm3 0.5560 0.5560 0.3466  5 Pr 3.22-3.60, 1 Pm 3.37
Pm4 0.7906 0.4440 0.0000  5 Pr 3.22-3.60, 1 Pm 3.37
Pr1 0.0000 0.5000 0.5000  4 Pm 3.22, 2 Ho 3.44
Pr2 0.0115 0.6326 0.0000  5 Pm 3.45-3.81, 1 Ho 3.51, 1 Pr 3.68
Pr3 0.3674 0.3674 0.3790  5 Pm 3.45-3.81, 1 Ho 3.51, 1 Pr 3.68
Pr4 0.5000 0.0000 0.5000  4 Pm 3.22, 2 Ho 3.44
Pr5 0.6326 0.0115 0.0000  5 Pm 3.45-3.81, 1 Ho 3.51, 1 Pr 3.68
Pr6 0.9885 0.9885 0.6210  5 Pm 3.45-3.81, 1 Ho 3.51, 1 Pr 3.68
Ho1 0.0000 0.0000 0.0000  8 Pr 3.44-3.51, 4 Pm 3.74

=====

Please write out number 3 again, unchanged.
The following is a DFT calculation (GGA-PBE) of a geometry-optimized TiReNi structure.

Properties
offset from the most stable computed form = 85 meV per atom
formation energy = -0.153 eV per atom

a b c (Å): 6.2956 6.2896 2.6374
angles (deg): 78.03 77.78 24.19
Closest atoms and distances in Å follow each position.
Positions (direct):
Ti1 0.0000 0.0000 0.0000  4 Ti 2.64, 4 Ni 2.69-2.70, 4 Re 2.89-2.90
Re1 0.6846 0.6846 0.3154  4 Ni 2.61-2.63, 4 Re 2.64, 4 Ti 2.89-2.90
Ni1 0.3379 0.3379 0.6621  4 Re 2.61-2.63, 4 Ni 2.64, 4 Ti 2.69-2.70